Material: Sc2TaZn
Method: DFT, GGA-PBE
State: relaxed

abc: 3.379 4.926 4.658
angles: 90.00 90.00 90.00
Last column: magnetic moment on the atom in μB.
Sites, in units of the cell vectors:
1 Sc 0.000 0.000 0.000  0.21
2 Sc 0.500 0.500 0.000  0.15
3 Ta 0.500 0.000 0.500  0.18
4 Zn 0.000 0.500 0.500  0.01

Summary:
- Calculated density: 7.20 Mg/m³
- Space-group type: Pmmm (47)
- Formation energy from the elements: 71 kJ/mol of formula units
- E_tot: -6.262 eV/atom


Material: Sc2TaZn
Method: DFT, GGA-PBE
State: relaxed

abc: 5.886 5.886 5.886
angles: 148.79 130.92 59.32
Sites, in units of the cell vectors:
1 Sc 0.971 0.971 0.000
2 Sc 0.258 0.758 0.500
3 Ta 0.527 0.527 0.000
4 Zn 0.743 0.243 0.500

Summary:
- Calculated density: 7.05 Mg/m³
- Space-group type: Imm2 (44)
- Formation energy from the elements: 3 kJ/mol of formula units
- E_tot: -6.440 eV/atom


Material: ScTa2Zn
Method: DFT, GGA-PBE
State: relaxed

abc: 5.267 5.267 2.911
angles: 90.00 90.00 114.19
Sites, in units of the cell vectors:
1 Sc 0.000 0.500 0.500
2 Ta 0.000 0.000 0.000
3 Ta 0.500 0.500 0.000
4 Zn 0.500 0.000 0.500

Summary:
- Calculated density: 10.65 Mg/m³
- Space-group type: Cmmm (65)
- Formation energy from the elements: 74 kJ/mol of formula units
- E_tot: -7.636 eV/atom


Material: Sc2TaZn
Method: DFT, GGA-PBE
State: relaxed

abc: 5.128 5.128 3.046
angles: 90.03 90.03 99.83
Sites, in units of the cell vectors:
1 Sc 0.000 0.000 0.000
2 Sc 0.500 0.500 0.000
3 Ta 0.500 0.000 0.500
4 Zn 0.000 0.500 0.500

Summary:
- Calculated density: 7.07 Mg/m³
- Space-group type: Cmmm (65)
- Formation energy from the elements: 27 kJ/mol of formula units
- E_tot: -6.377 eV/atom


Material: Sc2TaZn
Method: DFT, GGA-PBE
State: relaxed

abc: 5.694 5.694 4.874
angles: 64.70 64.70 33.16
Sites, in units of the cell vectors:
1 Sc 0.978 0.978 0.022
2 Sc 0.522 0.522 0.478
3 Ta 0.750 0.750 0.750
4 Zn 0.250 0.250 0.250

Summary:
- Calculated density: 7.22 Mg/m³
- Space-group type: Immm (71)
- Formation energy from the elements: 39 kJ/mol of formula units
- E_tot: -6.347 eV/atom


Material: ScTa2Zn
Method: DFT, GGA-PBE
State: relaxed

abc: 4.968 2.911 5.243
angles: 79.78 90.00 90.00
Sites, in units of the cell vectors:
1 Sc 0.500 0.750 0.750
2 Ta 0.000 0.099 0.010
3 Ta 0.000 0.401 0.490
4 Zn 0.500 0.250 0.250

Summary:
- Calculated density: 10.51 Mg/m³
- Space-group type: P2/m (10)
- Formation energy from the elements: 43 kJ/mol of formula units
- E_tot: -7.716 eV/atom


Material: Sc2TaZn
Method: DFT, GGA-PBE
State: relaxed

abc: 5.232 5.232 5.232
angles: 132.26 132.26 69.82
Sites, in units of the cell vectors:
1 Sc 0.000 0.000 0.000
2 Sc 0.500 0.500 0.000
3 Ta 0.250 0.750 0.500
4 Zn 0.750 0.250 0.500

Summary:
- Calculated density: 7.26 Mg/m³
- Space-group type: I4/mmm (139)
- Formation energy from the elements: 25 kJ/mol of formula units
- E_tot: -6.382 eV/atom


Material: Sc2Ta2Zn
Method: DFT, GGA-PBE
State: relaxed

abc: 7.041 7.041 4.115
angles: 90.00 90.00 90.00
Sites, in units of the cell vectors:
1 Sc 0.162 0.662 0.500
2 Sc 0.662 0.838 0.500
3 Sc 0.838 0.338 0.500
4 Sc 0.338 0.162 0.500
5 Zn 0.000 0.000 0.000
6 Zn 0.500 0.500 0.000
7 Ta 0.365 0.865 0.000
8 Ta 0.865 0.635 0.000
9 Ta 0.635 0.135 0.000
10 Ta 0.135 0.365 0.000

Summary:
- Calculated density: 8.42 Mg/m³
- Space-group type: P4/mbm (127)
- Formation energy from the elements: 136 kJ/mol of formula units
- E_tot: -7.247 eV/atom